First-principles (PBE-GGA) data for a relaxed structure of Cs6K3Pb, as listed in Alexandria.

Summary:
* total moment: 0.00 μB/f.u.
* DFT formation energy: 0.00 eV per atom

Unit cell a=13.1072 b=9.2786 c=19.2481 alpha=90.00 beta=132.37 gamma=90.00
With the nearest neighbours (Å) after each atom.
Space group P2_1/c (No. 14)
Inequivalent atoms, fractional coordinates:
Cs  0.0709  0.2275  0.2148 (multiplicity 4)  1 Pb 4.15, 1 K 4.54
Cs  0.2094  0.1350  0.5546 (multiplicity 4)  1 Pb 4.03
Cs  0.3681  0.5718  0.5593 (multiplicity 4)  1 Pb 4.20, 1 Cs 4.53, 1 K 4.61
K  0.2314  0.7078  0.7166 (multiplicity 4)  1 Pb 3.64
K  0.5000  0.0000  0.5000 (multiplicity 2)  2 K 4.47, 6 Cs 4.75-4.96
Pb  0.0000  0.0000  0.0000 (multiplicity 2)  2 K 3.64, 2 Cs 4.03


First-principles (PBE-GGA) data for a relaxed structure of SrRuW, as listed in Alexandria.

Summary:
* total moment: 0.00 μB/f.u.
* DFT formation energy: 0.61 eV per atom
* energy above the most stable polymorph in this dataset: 24.1 kJ/mol of formula units

Unit cell a=4.1520 b=4.1520 c=5.1445 alpha=90.00 beta=90.00 gamma=120.00
With the nearest neighbours (Å) after each atom.
Space group P3m1 (No. 156)
Inequivalent atoms, fractional coordinates:
Sr  0.0000  0.0000  0.0000 (multiplicity 1)  6 Ru 3.40-3.64, 6 W 3.45-3.58
Ru  0.3333  0.6667  0.4681 (multiplicity 1)  3 W 2.41
W  0.6667  0.3333  0.5166 (multiplicity 1)  3 Ru 2.41


First-principles (PBE-GGA) data for a relaxed structure of PrLuMgPb, as listed in Alexandria.

Summary:
* total moment: 0.00 μB/f.u.
* DFT formation energy: -0.26 eV per atom

Unit cell a=7.6547 b=7.6547 c=7.6547 alpha=90.00 beta=90.00 gamma=90.00
With the nearest neighbours (Å) after each atom.
Space group F-43m (No. 216)
Inequivalent atoms, fractional coordinates:
Pr  0.0000  0.0000  0.0000 (multiplicity 4)  4 Pb 3.31, 4 Mg 3.31
Lu  0.0000  0.0000  0.5000 (multiplicity 4)  4 Pb 3.31, 4 Mg 3.31
Mg  0.2500  0.2500  0.7500 (multiplicity 4)  4 Pr 3.31, 4 Lu 3.31
Pb  0.2500  0.2500  0.2500 (multiplicity 4)  4 Pr 3.31, 4 Lu 3.31


First-principles (PBE-GGA) data for a relaxed structure of HfScCo10, as listed in Alexandria.

Summary:
* total moment: 13.48 μB/f.u.
* DFT formation energy: -0.11 eV per atom

Unit cell a=3.9645 b=4.7552 c=8.2263 alpha=90.00 beta=90.00 gamma=90.00
With the nearest neighbours (Å) after each atom.
Space group Pmmm (No. 47)
Inequivalent atoms, fractional coordinates:
Hf  0.0000  0.0000  0.0000 (multiplicity 1)  6 Co 2.73-2.74
Sc  0.0000  0.5000  0.5000 (multiplicity 1)  6 Co 2.75
Co  0.0000  0.0000  0.3321 (multiplicity 2)  6 Co 2.41-2.42
Co  0.0000  0.5000  0.1659 (multiplicity 2)  6 Co 2.41
Co  0.5000  0.0000  0.5000 (multiplicity 1)  8 Co 2.39-2.42
Co  0.5000  0.2479  0.2474 (multiplicity 4)  8 Co 2.36-2.41
Co  0.5000  0.5000  0.0000 (multiplicity 1)  8 Co 2.36-2.41


First-principles (PBE-GGA) data for a relaxed structure of Pr3Pu5Se8, as listed in Alexandria.

Summary:
* total moment: 5.71 μB/f.u.
* E_tot: -0.644 Ry per atom

Unit cell a=8.3823 b=8.3823 c=20.5343 alpha=90.00 beta=90.00 gamma=120.00
With the nearest neighbours (Å) after each atom.
Space group R-3m (No. 166, hexagonal axes)
Inequivalent atoms, fractional coordinates:
Pr  0.0000  0.5000  0.0000 (multiplicity 9)  6 Se 3.00-3.01
Pu  0.0000  0.0000  0.0000 (multiplicity 3)  6 Se 2.96
Pu  0.0000  0.0000  0.5000 (multiplicity 3)  6 Se 2.96
Pu  0.0000  0.5000  0.5000 (multiplicity 9)  6 Se 2.92-2.93
Se  0.0000  0.0000  0.2461 (multiplicity 6)  3 Pu 2.92, 3 Pr 3.01
Se  0.0041  0.5020  0.7520 (multiplicity 18)  4 Pu 2.93-2.96, 2 Pr 3.00


First-principles (PBE-GGA) data for a relaxed structure of SrLaGa2Ru, as listed in Alexandria.

Summary:
* total moment: 0.00 μB/f.u.
* DFT formation energy: -0.31 eV per atom

Unit cell a=5.0739 b=5.0739 c=5.1572 alpha=90.00 beta=90.00 gamma=90.00
With the nearest neighbours (Å) after each atom.
Space group P4/mmm (No. 123)
Inequivalent atoms, fractional coordinates:
Sr  0.0000  0.0000  0.0000 (multiplicity 1)  4 La 3.59, 8 Ga 3.62
La  0.5000  0.5000  0.0000 (multiplicity 1)  2 Ru 2.58
Ga  0.0000  0.5000  0.5000 (multiplicity 2)  2 Ru 2.54
Ru  0.5000  0.5000  0.5000 (multiplicity 1)  4 Ga 2.54, 2 La 2.58


First-principles (PBE-GGA) data for a relaxed structure of AsPOF2, as listed in Alexandria.

Summary:
* total moment: 1.99 μB/f.u.
* energy above the most stable polymorph in this dataset: 0.0 kJ/mol of formula units

Unit cell a=4.5439 b=4.5439 c=3.4283 alpha=90.00 beta=90.00 gamma=90.00
With the nearest neighbours (Å) after each atom.
Space group P4/mmm (No. 123)
Inequivalent atoms, fractional coordinates:
As  0.0000  0.0000  0.0000 (multiplicity 1)  8 F 2.85
P  0.5000  0.5000  0.5000 (multiplicity 1)  2 O 1.71
O  0.5000  0.5000  0.0000 (multiplicity 1)  2 P 1.71
F  0.0000  0.5000  0.5000 (multiplicity 2)  2 P 2.27


First-principles (PBE-GGA) data for a relaxed structure of TiMn2V2, as listed in Alexandria.

Summary:
* total moment: 0.24 μB/f.u.
* DFT formation energy: 0.09 eV per atom
* energy above the most stable polymorph in this dataset: 27.6 kJ/mol of formula units

Unit cell a=6.8299 b=6.8299 c=2.8563 alpha=90.00 beta=90.00 gamma=90.00
With the nearest neighbours (Å) after each atom.
Space group P4/mbm (No. 127)
Inequivalent atoms, fractional coordinates:
Ti  0.0000  0.0000  0.0000 (multiplicity 2)  4 Mn 2.62, 2 Ti 2.86
Mn  0.1448  0.3552  0.0000 (multiplicity 4)  6 V 2.41-2.49, 2 Ti 2.62
V  0.1539  0.6539  0.5000 (multiplicity 4)  6 Mn 2.41-2.49


First-principles (PBE-GGA) data for a relaxed structure of Ba2CaRh, as listed in Alexandria.

Summary:
* total moment: 0.00 μB/f.u.
* DFT formation energy: -0.07 eV per atom
* energy above the most stable polymorph in this dataset: 55.5 kJ/mol of formula units

Unit cell a=3.7728 b=4.9324 c=17.3832 alpha=90.00 beta=90.00 gamma=90.00
With the nearest neighbours (Å) after each atom.
Space group Immm (No. 71)
Inequivalent atoms, fractional coordinates:
Ba  0.0000  0.0000  0.1489 (multiplicity 4)  2 Rh 3.20, 2 Ca 3.58
Ca  0.0000  0.5000  0.0000 (multiplicity 2)  4 Rh 3.10
Rh  0.0000  0.5000  0.5000 (multiplicity 2)  4 Ca 3.10, 4 Ba 3.20


First-principles (PBE-GGA) data for a relaxed structure of Ca2S2Cl3, as listed in Alexandria.

Summary:
* total moment: 1.05 μB/f.u.
* E_tot: -0.310 Ry per atom

Unit cell a=4.9859 b=7.8474 c=8.0770 alpha=112.92 beta=91.69 gamma=108.29
With the nearest neighbours (Å) after each atom.
Space group P-1 (No. 2)
Inequivalent atoms, fractional coordinates:
Ca  0.1235  0.2538  0.3447 (multiplicity 2)  4 Cl 2.63-2.79, 2 S 2.85-2.86
S  0.2106  0.0326  0.5381 (multiplicity 2)  1 S 2.01
Cl  0.0000  0.0000  0.0000 (multiplicity 1)  2 Ca 2.63
Cl  0.3004  0.5919  0.6739 (multiplicity 2)  3 Ca 2.77-2.79


First-principles (PBE-GGA) data for a relaxed structure of LiTlTc3, as listed in Alexandria.

Summary:
* total moment: 0.00 μB/f.u.
* DFT formation energy: 1.28 eV per atom
* energy above the most stable polymorph in this dataset: 0.0 kJ/mol of formula units

Unit cell a=4.2604 b=4.2604 c=4.2604 alpha=90.00 beta=90.00 gamma=90.00
With the nearest neighbours (Å) after each atom.
Space group Pm-3m (No. 221)
Inequivalent atoms, fractional coordinates:
Li  0.0000  0.0000  0.0000 (multiplicity 1)  6 Tc 2.13
Tl  0.5000  0.5000  0.5000 (multiplicity 1)  12 Tc 3.01
Tc  0.0000  0.0000  0.5000 (multiplicity 3)  2 Li 2.13


First-principles (PBE-GGA) data for a relaxed structure of CSe4, as listed in Alexandria.

Summary:
* total moment: 0.00 μB/f.u.
* energy above the most stable polymorph in this dataset: 14.9 kJ/mol of formula units

Unit cell a=8.3587 b=8.3587 c=3.3414 alpha=90.00 beta=90.00 gamma=90.00
With the nearest neighbours (Å) after each atom.
Space group I4/m (No. 87)
Inequivalent atoms, fractional coordinates:
C  0.0000  0.0000  0.0000 (multiplicity 2)  8 Se 2.62
Se  0.1464  0.1925  0.5000 (multiplicity 8)  4 Se 2.59-2.86, 2 C 2.62


> The highest total moment belongs to which entry?

HfScCo10